## LaMgH6Ir2 (PBE)

Data for a relaxed LaMgH6Ir2 crystal.

abc: 5.9908 5.9908 5.9908
angles: 45.72 45.72 45.72
With the nearest neighbours (Å) after each atom.
Positions (direct):
La 0.0000 0.0000 0.0000  12 H 2.54
Mg 0.5000 0.5000 0.5000  6 H 2.15
H 0.0572 0.5670 0.5670  1 Ir 1.66
H 0.4330 0.4330 0.9428  1 Ir 1.66
H 0.4330 0.9428 0.4330  1 Ir 1.66
H 0.5670 0.0572 0.5670  1 Ir 1.66
H 0.5670 0.5670 0.0572  1 Ir 1.66
H 0.9428 0.4330 0.4330  1 Ir 1.66
Ir 0.2068 0.2068 0.2068  3 H 1.66
Ir 0.7932 0.7932 0.7932  3 H 1.66

Summary:
raw total energy = -4.87 eV per atom